Record 1
The following is a DFT calculation (PBE) of a relaxed structure of Pm2TlSe.

Values from the calculation:
* density: 8.1 g/cm3
* formation energy (no corrections): -1.030 eV/atom
* magnetic moment: 0.00 Bohr magnetons per cell
* E above lowest polymorph: 0.23 eV/f.u.

The structure in POSCAR format:
```
Pm2TlSe
1.0
4.019 0.000 0.000
2.010 3.481 0.000
2.010 1.160 8.417
Pm Tl Se
2 1 1
Cartesian
2.010 1.160 6.640
2.010 1.160 1.784
4.019 2.320 4.221
6.029 3.481 8.397
```



Record 2
The following is a DFT calculation (PBE) of a relaxed structure of Pm5TlSe4.

Values from the calculation:
* density: 7.5 g/cm3
* formation energy (no corrections): -1.547 eV/atom
* magnetic moment: 0.00 Bohr magnetons per cell

The structure in POSCAR format:
```
Pm5TlSe4
1.0
-5.571 1.852 1.331
-1.516 0.024 7.233
-0.566 7.285 1.110
Pm Tl Se
5 1 4
Cartesian
-6.084 7.457 5.028
-3.255 4.903 6.807
-4.410 4.260 2.869
-1.581 1.706 4.648
-2.792 0.928 0.667
-0.007 0.002 0.002
-3.285 6.597 4.328
-6.016 5.859 7.536
-1.649 3.305 2.140
-4.380 2.567 5.348
```



Record 3
The following is a DFT calculation (PBE) of a relaxed structure of Pm2TlSe.

Values from the calculation:
* density: 8.9 g/cm3
* formation energy (no corrections): -0.947 eV/atom
* magnetic moment: 0.00 Bohr magnetons per cell
* E above lowest polymorph: 0.57 eV/f.u.

The structure in POSCAR format:
```
Pm2TlSe
1.0
-2.193 2.759 -0.718
-1.024 0.083 3.447
6.089 5.277 1.682
Tl Se Pm
1 1 2
Cartesian
1.436 4.060 2.205
-1.609 1.421 1.364
4.703 4.076 1.299
1.386 1.201 0.383
```



Record 4
The following is a DFT calculation (PBE) of a relaxed structure of PmTl3Se3.

Values from the calculation:
* density: 6.7 g/cm3
* formation energy (no corrections): -0.956 eV/atom
* magnetic moment: 0.00 Bohr magnetons per cell

The structure in POSCAR format:
```
PmTl3Se3
1.0
-0.535 -3.382 -2.630
-4.013 -4.626 6.765
-11.370 4.248 -3.150
Pm Tl Se
2 6 6
Cartesian
-8.001 -3.317 4.122
-7.917 -0.442 -3.137
-5.859 -1.037 0.754
-10.060 -2.722 0.231
-13.537 -1.126 2.429
-2.382 -2.634 -1.444
-11.225 1.240 -1.082
-4.693 -4.999 2.067
-8.471 0.195 -0.299
-7.447 -3.954 1.284
-10.726 -2.358 3.443
-5.192 -1.401 -2.458
-5.397 -4.390 4.971
-10.522 0.630 -3.986
```



Record 5
The following is a DFT calculation (PBE) of a relaxed structure of PmTm3Tl4Se8.

Values from the calculation:
* density: 7.4 g/cm3
* formation energy (no corrections): -1.373 eV/atom
* magnetic moment: 0.00 Bohr magnetons per cell

The structure in POSCAR format:
```
PmTm3Tl4Se8
1.0
8.353 0.000 0.000
0.000 9.135 0.547
-4.176 -4.175 5.907
Pm Tm Tl Se
1 3 4 8
Cartesian
0.000 4.567 0.273
4.176 4.567 0.273
2.088 2.480 3.227
-2.088 2.480 3.227
4.176 0.000 0.000
2.088 -2.087 2.954
0.000 0.000 0.000
-2.088 -2.087 2.954
-2.034 2.404 6.087
0.000 4.437 3.210
0.000 0.512 3.312
2.034 2.404 6.087
2.142 2.557 0.367
4.176 4.449 3.142
4.176 0.523 3.244
6.211 2.557 0.367
```



Record 6
The following is a DFT calculation (PBE) of a relaxed structure of Pm2TmTl3Se6.

Values from the calculation:
* density: 7.1 g/cm3
* formation energy (no corrections): -1.379 eV/atom
* magnetic moment: 0.00 Bohr magnetons per cell

The structure in POSCAR format:
```
Pm2TmTl3Se6
1.0
-2.284 -6.935 -0.825
0.816 2.821 6.736
-6.882 3.815 -2.101
Pm Tm Tl Se
2 1 3 6
Cartesian
-0.218 -0.433 4.214
-1.250 -3.681 1.696
0.000 0.000 0.000
-3.148 3.083 4.410
-5.203 -3.382 -0.601
-4.175 -0.150 1.905
-7.097 -1.715 1.657
-2.528 -2.274 3.971
-1.254 1.416 2.153
-6.093 1.442 4.104
-5.823 1.975 -0.161
-2.257 -1.741 -0.294
```



Copy entry 2 word for word.
The following is a DFT calculation (PBE) of a relaxed structure of Pm5TlSe4.

Values from the calculation:
* density: 7.5 g/cm3
* formation energy (no corrections): -1.547 eV/atom
* magnetic moment: 0.00 Bohr magnetons per cell

The structure in POSCAR format:
```
Pm5TlSe4
1.0
-5.571 1.852 1.331
-1.516 0.024 7.233
-0.566 7.285 1.110
Pm Tl Se
5 1 4
Cartesian
-6.084 7.457 5.028
-3.255 4.903 6.807
-4.410 4.260 2.869
-1.581 1.706 4.648
-2.792 0.928 0.667
-0.007 0.002 0.002
-3.285 6.597 4.328
-6.016 5.859 7.536
-1.649 3.305 2.140
-4.380 2.567 5.348
```